Record 1
# NdPuGa2 PBE relaxed
data_NdPuGa2
_cell_length_a 3.361
_cell_length_b 3.361
_cell_length_c 8.396
_cell_angle_alpha 90.00
_cell_angle_beta 90.00
_cell_angle_gamma 90.00
_space_group_name_H-M_alt 'P 4/m m m'
_space_group_IT_number 123
_space_group_name_Hall '-P 4 2'
loop_
_atom_site_label
_atom_site_type_symbol
_atom_site_fract_x
_atom_site_fract_y
_atom_site_fract_z
Nd1 Nd 0.000 0.000 0.000
Pu1 Pu 0.000 0.000 0.500
Ga1 Ga 0.500 0.500 0.256
# - Offset from the most stable computed form: 0 meV/atom
# - Energy relative to the elements: -0.38 eV per atom
# - Calculated volume: 95 Å³ per cell
# - Crystal system: tetragonal

***

Record 2
# Nd2PuGa PBE relaxed
data_Nd2PuGa
_cell_length_a 3.5312
_cell_length_b 3.5312
_cell_length_c 34.1422
_cell_angle_alpha 90.00
_cell_angle_beta 90.00
_cell_angle_gamma 120.00
_space_group_name_H-M_alt 'R -3 m'
_space_group_IT_number 166
_space_group_name_Hall '-R 3 2"'
loop_
_atom_site_label
_atom_site_type_symbol
_atom_site_fract_x
_atom_site_fract_y
_atom_site_fract_z
Nd1 Nd 0.0000 0.0000 0.0995
Pu1 Pu 0.0000 0.0000 0.0000
Ga1 Ga 0.0000 0.0000 0.5000
# - Offset from the most stable computed form: 262 meV/atom
# - Energy relative to the elements: 0.11 eV per atom
# - Calculated volume: 369 Å³ per cell
# - Crystal system: trigonal

***

Record 3
# Nd2PuGa6 PBE relaxed
data_Nd2PuGa6
_cell_length_a 4.439
_cell_length_b 7.226
_cell_length_c 13.427
_cell_angle_alpha 90.00
_cell_angle_beta 90.00
_cell_angle_gamma 90.00
_space_group_name_H-M_alt 'I m m m'
_space_group_IT_number 71
_space_group_name_Hall '-I 2 2'
loop_
_atom_site_label
_atom_site_type_symbol
_atom_site_fract_x
_atom_site_fract_y
_atom_site_fract_z
Nd1 Nd 0.000 0.000 0.129
Pu1 Pu 0.000 0.500 0.000
Ga1 Ga 0.000 0.189 0.321
Ga2 Ga 0.000 0.313 0.500
# - Offset from the most stable computed form: 217 meV/atom
# - Energy relative to the elements: -0.34 eV per atom
# - Calculated volume: 431 Å³ per cell
# - Crystal system: orthorhombic